A plane-wave DFT calculation with PBE was carried out for Sr2LiHg2 after structural relaxation.

The space group is C2/m (No. 12) and the conventional cell measures 12.027, 4.775 and 12.169 Å, with angles of 90.00, 118.10 and 90.00 degrees. Symmetry generates all atoms from Sr at (0.002, 0.000, 0.335), Sr at (0.187, 0.000, 0.108), Li at (0.215, 0.500, 0.366), Hg at (0.017, 0.500, 0.875) and Hg at (0.155, 0.500, 0.573).

The value obtained for the offset from the most stable computed form is 0 kJ/mol of formula units. The value obtained for the size of the total moment is 0.00 μB/cell. For the formation energy, the calculation gives -427 meV/atom. The calculation puts the calculated density at 6.29 Mg/m³.